# PBEsol Th7Pt3, optimized geometry
# N(E_F) = 21.17 states/eV/cell
# uncorrected energy = -8.4683 eV/atom
# crystal system = hexagonal
data_Th7Pt3
_cell_length_a 9.9976
_cell_length_b 9.9976
_cell_length_c 6.2782
_cell_angle_alpha 90.00
_cell_angle_beta 90.00
_cell_angle_gamma 120.00
_symmetry_space_group_name_H-M 'P 63 m c'
_symmetry_Int_Tables_number 186
_symmetry_space_group_name_Hall 'P 6c -2c'
loop_
_atom_site_label
_atom_site_fract_x
_atom_site_fract_y
_atom_site_fract_z
Th1 0.0843 0.5421 0.0000
Th2 0.1283 0.2566 0.7197
Th3 0.3333 0.6667 0.5582
Pt1 0.1891 0.3781 0.2806

***

# PBEsol Mn3Ni20P6, optimized geometry
# N(E_F) = 40.75 states/eV/cell
# uncorrected energy = -6.8553 eV/atom
# crystal system = cubic
data_Mn3Ni20P6
_cell_length_a 10.899
_cell_length_b 10.899
_cell_length_c 10.899
_cell_angle_alpha 90.00
_cell_angle_beta 90.00
_cell_angle_gamma 90.00
_symmetry_space_group_name_H-M 'F m -3 m'
_symmetry_Int_Tables_number 225
_symmetry_space_group_name_Hall '-F 4 2 3'
loop_
_atom_site_label
_atom_site_fract_x
_atom_site_fract_y
_atom_site_fract_z
Mn1 0.000 0.000 0.000
Mn2 0.250 0.250 0.250
Ni1 0.000 0.174 0.174
Ni2 0.118 0.118 0.382
P1 0.000 0.000 0.265

***

# PBEsol LiZr2BAu, optimized geometry
# ΔE to the lowest computed polymorph = 0 kJ/mol of formula units
# N(E_F) = 3.21 states/eV/cell
# uncorrected energy = -6.3802 eV/atom
# crystal system = tetragonal
data_LiZr2BAu
_cell_length_a 4.568
_cell_length_b 4.568
_cell_length_c 4.050
_cell_angle_alpha 90.00
_cell_angle_beta 90.00
_cell_angle_gamma 90.00
_symmetry_space_group_name_H-M 'P 4/m m m'
_symmetry_Int_Tables_number 123
_symmetry_space_group_name_Hall '-P 4 2'
loop_
_atom_site_label
_atom_site_fract_x
_atom_site_fract_y
_atom_site_fract_z
Li1 0.000 0.000 0.000
Zr1 0.000 0.500 0.500
B1 0.000 0.000 0.500
Au1 0.500 0.500 0.000

***

# PBEsol ZrCdPb2, optimized geometry
# N(E_F) = 14.48 states/eV/cell
# uncorrected energy = -4.3080 eV/atom
# crystal system = cubic
data_ZrCdPb2
_cell_length_a 7.386
_cell_length_b 7.386
_cell_length_c 7.386
_cell_angle_alpha 90.00
_cell_angle_beta 90.00
_cell_angle_gamma 90.00
_symmetry_space_group_name_H-M 'F -4 3 m'
_symmetry_Int_Tables_number 216
_symmetry_space_group_name_Hall 'F -4 2 3'
loop_
_atom_site_label
_atom_site_fract_x
_atom_site_fract_y
_atom_site_fract_z
Zr1 0.000 0.000 0.000
Cd1 0.250 0.250 0.250
Pb1 0.000 0.000 0.500
Pb2 0.250 0.250 0.750

***

# PBEsol YZnTe2, optimized geometry
# ΔE to the lowest computed polymorph = 121 kJ/mol of formula units
# energy relative to the elements, uncorrected = -635 meV/atom
# N(E_F) = 3.20 states/eV/cell
# uncorrected energy = -4.4987 eV/atom
# crystal system = tetragonal
data_YZnTe2
_cell_length_a 4.233
_cell_length_b 4.233
_cell_length_c 11.013
_cell_angle_alpha 90.00
_cell_angle_beta 90.00
_cell_angle_gamma 90.00
_symmetry_space_group_name_H-M 'I -4 m 2'
_symmetry_Int_Tables_number 119
_symmetry_space_group_name_Hall 'I -4 -2'
loop_
_atom_site_label
_atom_site_fract_x
_atom_site_fract_y
_atom_site_fract_z
Y1 0.000 0.000 0.000
Zn1 0.000 0.500 0.250
Te1 0.000 0.000 0.500
Te2 0.000 0.500 0.750

***

# PBEsol In2TcTe, optimized geometry
# energy relative to the elements, uncorrected = 237 meV/atom
# N(E_F) = 4.73 states/eV/cell
# uncorrected energy = -4.9529 eV/atom
# crystal system = orthorhombic
data_In2TcTe
_cell_length_a 4.458
_cell_length_b 3.697
_cell_length_c 10.389
_cell_angle_alpha 90.00
_cell_angle_beta 90.00
_cell_angle_gamma 90.00
_symmetry_space_group_name_H-M 'A m m 2'
_symmetry_Int_Tables_number 38
loop_
_symmetry_equiv_pos_as_xyz
'x,y,z'
'-x,-y,z'
'-x,y,z'
'x,-y,z'
'x,y+1/2,z+1/2'
'-x,-y+1/2,z+1/2'
'-x,y+1/2,z+1/2'
'x,-y+1/2,z+1/2'
loop_
_atom_site_label
_atom_site_fract_x
_atom_site_fract_y
_atom_site_fract_z
In1 0.000 0.000 0.000
In2 0.500 0.000 0.314
Tc1 0.500 0.000 0.584
Te1 0.000 0.000 0.723